Record 1
{"formula": "K3PaBr6", "functional": "PBE", "state": "optimized geometry", "dft_energy_ev_per_atom": -3.84, "formation_energy_uncorrected_ev_per_atom": -1.55, "dos_ef_per_ev_atom": 1.1598, "magmom_total_mub_per_fu": 2.0, "lattice_angstrom": [[7.967, 0.000, 0.000], [0.000, 8.525, 0.000], [-7.830, 0.000, 11.605]], "species": ["K", "K", "K", "K", "K", "K", "Pa", "Pa", "Br", "Br", "Br", "Br", "Br", "Br", "Br", "Br", "Br", "Br", "Br", "Br"], "frac_coords": [[0.000, 0.000, 0.000], [0.000, 0.500, 0.500], [0.213, 0.080, 0.745], [0.213, 0.420, 0.245], [0.787, 0.580, 0.755], [0.787, 0.920, 0.255], [0.500, 0.000, 0.500], [0.500, 0.500, 0.000], [0.139, 0.183, 0.435], [0.139, 0.317, 0.935], [0.249, 0.713, 0.421], [0.249, 0.787, 0.921], [0.406, 0.060, 0.267], [0.406, 0.440, 0.767], [0.594, 0.560, 0.233], [0.594, 0.940, 0.733], [0.751, 0.213, 0.079], [0.751, 0.287, 0.579], [0.861, 0.683, 0.065], [0.861, 0.817, 0.565]]}

=====

Record 2
{"formula": "KPaTl2Br8", "functional": "PBE", "state": "optimized geometry", "dft_energy_ev_per_atom": -3.68, "formation_energy_uncorrected_ev_per_atom": -1.29, "magmom_total_mub_per_fu": 0.0, "lattice_angstrom": [[7.376, 0.000, 0.000], [0.204, 7.583, 0.000], [0.010, 0.006, 9.702]], "species": ["K", "Pa", "Tl", "Tl", "Br", "Br", "Br", "Br", "Br", "Br", "Br", "Br"], "frac_coords": [[0.000, 0.000, 0.000], [0.000, 0.000, 0.500], [0.500, 0.500, 0.230], [0.500, 0.500, 0.770], [0.189, 0.690, 0.500], [0.224, 0.125, 0.700], [0.225, 0.124, 0.300], [0.273, 0.663, 0.000], [0.727, 0.337, 0.000], [0.775, 0.876, 0.700], [0.776, 0.875, 0.300], [0.811, 0.310, 0.500]]}

=====

Record 3
{"formula": "K2PaTlBr8", "functional": "PBE", "state": "optimized geometry", "dft_energy_ev_per_atom": -3.69, "formation_energy_uncorrected_ev_per_atom": -1.40, "dos_ef_per_ev_atom": 0.2182, "magmom_total_mub_per_fu": 0.1, "lattice_angstrom": [[7.005, 0.000, 0.000], [0.168, 7.783, 0.000], [0.004, 0.009, 9.985]], "species": ["K", "K", "Pa", "Tl", "Br", "Br", "Br", "Br", "Br", "Br", "Br", "Br"], "frac_coords": [[0.002, 0.000, 0.232], [0.998, 0.000, 0.768], [0.500, 0.500, 0.500], [0.500, 0.500, 0.000], [0.210, 0.804, 0.999], [0.271, 0.791, 0.500], [0.279, 0.361, 0.694], [0.279, 0.362, 0.306], [0.721, 0.638, 0.694], [0.721, 0.639, 0.306], [0.729, 0.209, 0.500], [0.790, 0.196, 0.001]]}

=====

Record 4
{"formula": "K2PbBr4", "functional": "PBE", "state": "optimized geometry", "dft_energy_ev_per_atom": -3.18, "de_polymorph_mev_per_atom": 34, "formation_energy_uncorrected_ev_per_atom": -1.38, "dos_ef_per_ev_atom": 0.0000, "magmom_total_mub_per_fu": 0.0, "lattice_angstrom": [[7.537, -2.297, 0.000], [7.537, 2.297, 0.000], [-3.962, 0.000, 7.767]], "species": ["K", "K", "Pb", "Br", "Br", "Br", "Br"], "frac_coords": [[0.191, 0.191, 0.178], [0.809, 0.809, 0.822], [0.500, 0.500, 0.500], [0.144, 0.144, 0.520], [0.399, 0.399, 0.114], [0.601, 0.601, 0.886], [0.856, 0.856, 0.480]]}

=====

Record 5
{"formula": "KPbBr4", "functional": "PBE", "state": "optimized geometry", "dft_energy_ev_per_atom": -2.13, "de_polymorph_mev_per_atom": 736, "formation_energy_uncorrected_ev_per_atom": -0.22, "dos_ef_per_ev_atom": 0.9297, "magmom_total_mub_per_fu": 1.0, "lattice_angstrom": [[0.000, 4.645, 4.645], [4.645, 0.000, 4.645], [4.645, 4.645, 0.000]], "species": ["K", "Pb", "Br", "Br", "Br", "Br"], "frac_coords": [[0.000, 0.000, 0.000], [0.750, 0.750, 0.750], [0.375, 0.375, 0.375], [0.375, 0.375, 0.876], [0.375, 0.876, 0.375], [0.876, 0.375, 0.375]]}

=====

Record 6
{"formula": "KPb2Br", "functional": "PBE", "state": "optimized geometry", "dft_energy_ev_per_atom": -3.05, "de_polymorph_mev_per_atom": 71, "formation_energy_uncorrected_ev_per_atom": -0.51, "dos_ef_per_ev_atom": 0.3808, "magmom_total_mub_per_fu": 0.0, "lattice_angstrom": [[-2.244, 2.244, 15.754], [2.244, -2.244, 15.754], [2.244, 2.244, -15.754]], "species": ["K", "K", "Pb", "Pb", "Pb", "Pb", "Br", "Br"], "frac_coords": [[0.000, 0.000, 0.000], [0.750, 0.250, 0.500], [0.124, 0.625, 0.999], [0.375, 0.374, 0.499], [0.626, 0.125, 0.001], [0.875, 0.876, 0.501], [0.250, 0.750, 0.500], [0.500, 0.500, 0.000]]}

=====

Record 7
{"formula": "K2PbBr", "functional": "PBE", "state": "optimized geometry", "dft_energy_ev_per_atom": -2.35, "de_polymorph_mev_per_atom": 354, "formation_energy_uncorrected_ev_per_atom": -0.46, "dos_ef_per_ev_atom": 0.5768, "magmom_total_mub_per_fu": 0.0, "lattice_angstrom": [[-2.644, 2.644, 5.269], [2.644, -2.644, 5.269], [2.644, 2.644, -5.269]], "species": ["K", "K", "Pb", "Br"], "frac_coords": [[0.250, 0.750, 0.500], [0.750, 0.250, 0.500], [0.000, 0.000, 0.000], [0.500, 0.500, 0.000]]}

=====

Record 8
{"formula": "K2PbBr6", "functional": "PBE", "state": "optimized geometry", "dft_energy_ev_per_atom": -2.76, "formation_energy_uncorrected_ev_per_atom": -0.99, "magmom_total_mub_per_fu": 0.0, "lattice_angstrom": [[7.343, 0.000, 0.000], [0.000, 7.343, 0.000], [0.000, 0.000, 14.139]], "species": ["K", "K", "K", "K", "Pb", "Pb", "Br", "Br", "Br", "Br", "Br", "Br", "Br", "Br", "Br", "Br", "Br", "Br"], "frac_coords": [[0.000, 0.000, 0.165], [0.000, 0.000, 0.835], [0.500, 0.500, 0.335], [0.500, 0.500, 0.665], [0.000, 0.000, 0.500], [0.500, 0.500, 0.000], [0.182, 0.182, 0.358], [0.182, 0.182, 0.642], [0.234, 0.234, 0.000], [0.266, 0.734, 0.500], [0.318, 0.682, 0.142], [0.318, 0.682, 0.858], [0.682, 0.318, 0.142], [0.682, 0.318, 0.858], [0.734, 0.266, 0.500], [0.766, 0.766, 0.000], [0.818, 0.818, 0.358], [0.818, 0.818, 0.642]]}

=====

Record 9
{"formula": "KPb4Br8", "functional": "PBE", "state": "optimized geometry", "dft_energy_ev_per_atom": -3.18, "de_polymorph_mev_per_atom": 0, "formation_energy_uncorrected_ev_per_atom": -0.93, "dos_ef_per_ev_atom": 0.2013, "magmom_total_mub_per_fu": 0.0, "lattice_angstrom": [[4.607, 2.660, 7.471], [-4.607, 2.660, 7.471], [0.000, -5.320, 7.471]], "species": ["K", "Pb", "Pb", "Pb", "Pb", "Br", "Br", "Br", "Br", "Br", "Br", "Br", "Br"], "frac_coords": [[0.000, 0.000, 0.000], [0.000, 0.000, 0.500], [0.000, 0.500, 0.000], [0.500, 0.000, 0.000], [0.500, 0.500, 0.500], [0.237, 0.237, 0.237], [0.238, 0.739, 0.739], [0.261, 0.261, 0.762], [0.261, 0.762, 0.261], [0.739, 0.238, 0.739], [0.739, 0.739, 0.238], [0.762, 0.261, 0.261], [0.763, 0.763, 0.763]]}

=====

Record 10
{"formula": "K2PbBr", "functional": "PBE", "state": "optimized geometry", "dft_energy_ev_per_atom": -2.41, "de_polymorph_mev_per_atom": 292, "formation_energy_uncorrected_ev_per_atom": -0.52, "dos_ef_per_ev_atom": 0.8001, "magmom_total_mub_per_fu": 0.3, "lattice_angstrom": [[-2.036, 3.610, 5.619], [2.036, -3.610, 5.619], [2.036, 3.610, -5.619]], "species": ["K", "K", "Pb", "Br"], "frac_coords": [[0.213, 0.213, 0.000], [0.787, 0.787, 0.000], [0.500, 0.000, 0.500], [0.000, 0.500, 0.500]]}

=====

Record 11
{"formula": "KPb2Br", "functional": "PBE", "state": "optimized geometry", "dft_energy_ev_per_atom": -2.81, "de_polymorph_mev_per_atom": 309, "formation_energy_uncorrected_ev_per_atom": -0.27, "dos_ef_per_ev_atom": 0.6241, "magmom_total_mub_per_fu": 0.0, "lattice_angstrom": [[3.552, 0.000, 0.000], [0.000, 6.135, 0.000], [0.000, 0.000, 6.617]], "species": ["K", "Pb", "Pb", "Br"], "frac_coords": [[0.000, 0.000, 0.000], [0.500, 0.247, 0.500], [0.500, 0.753, 0.500], [0.000, 0.500, 0.000]]}

=====

Record 12
{"formula": "K2PbBr", "functional": "PBE", "state": "optimized geometry", "dft_energy_ev_per_atom": -2.44, "de_polymorph_mev_per_atom": 270, "formation_energy_uncorrected_ev_per_atom": -0.54, "dos_ef_per_ev_atom": 0.6614, "magmom_total_mub_per_fu": 0.0, "lattice_angstrom": [[-4.667, 4.667, 3.791], [4.667, -4.667, 3.791], [4.667, 4.667, -3.791]], "species": ["K", "K", "K", "K", "Pb", "Pb", "Br", "Br"], "frac_coords": [[0.080, 0.625, 0.955], [0.375, 0.330, 0.455], [0.670, 0.125, 0.045], [0.875, 0.920, 0.545], [0.250, 0.750, 0.500], [0.500, 0.500, 0.000], [0.000, 0.000, 0.000], [0.750, 0.250, 0.500]]}